No. 1
# CsAg2BiS3

A relaxed structure of CsAg2BiS3 (PBE, OQMD).

Lattice parameters (Å, degrees): 13.571 8.237 7.022 90.00 99.65 90.00
Element x y z (fractional)
Bi  0.498  0.629  0.755
S  0.910  0.949  0.723
S  0.622  0.641  0.452
Ag  0.912  0.748  0.970
Bi  0.502  0.371  0.245
Bi  0.498  0.871  0.255
S  0.090  0.449  0.777
S  0.910  0.551  0.223
S  0.381  0.624  0.045
Ag  0.912  0.752  0.470
S  0.622  0.859  0.952
Cs  0.821  0.117  0.184
Cs  0.821  0.383  0.684
Cs  0.179  0.883  0.816
S  0.619  0.124  0.455
S  0.378  0.359  0.548
Ag  0.088  0.248  0.530
S  0.378  0.141  0.048
S  0.090  0.051  0.277
Bi  0.502  0.129  0.745
S  0.381  0.876  0.545
Ag  0.088  0.252  0.030
S  0.619  0.376  0.955
Ag  0.732  0.640  0.149
Ag  0.732  0.860  0.649
Cs  0.179  0.617  0.316
Ag  0.268  0.360  0.851
Ag  0.268  0.140  0.351

Values from the calculation:
VASP energy   -3.7635 eV/atom
SG   No. 14

=====

No. 2
# CsAgBi2S4

A relaxed structure of CsAgBi2S4 (PBE, OQMD).

Lattice parameters (Å, degrees): 4.133 4.133 28.700 90.00 90.00 120.00
Element x y z (fractional)
Bi  0.333  0.667  0.108
S  0.667  0.333  0.448
Bi  0.333  0.667  0.392
S  0.000  0.000  0.163
Cs  0.667  0.333  0.250
S  0.333  0.667  0.948
S  0.000  0.000  0.837
Bi  0.667  0.333  0.892
Bi  0.667  0.333  0.608
S  0.000  0.000  0.337
Ag  0.000  0.000  0.000
S  0.333  0.667  0.552
S  0.667  0.333  0.052
Ag  0.000  0.000  0.500
S  0.000  0.000  0.663
Cs  0.333  0.667  0.750

Values from the calculation:
VASP energy   -4.0241 eV/atom
SG   No. 194

=====

No. 3
# Cs2AgBi3S6

A relaxed structure of Cs2AgBi3S6 (PBE, OQMD).

Lattice parameters (Å, degrees): 4.201 4.201 23.164 89.97 89.97 60.13
Element x y z (fractional)
Bi  0.251  0.251  0.574
Cs  0.919  0.919  0.743
Ag  0.913  0.913  0.401
Cs  0.912  0.912  0.256
S  0.580  0.580  0.365
Bi  0.583  0.583  0.076
S  0.917  0.917  0.001
Bi  0.251  0.251  0.925
S  0.918  0.918  0.512
S  0.585  0.585  0.645
S  0.249  0.249  0.137
S  0.585  0.585  0.865

Values from the calculation:
VASP energy   -3.9308 eV/atom
SG   No. 8

=====

No. 4
# Cs2AgBi3Se6

A relaxed structure of Cs2AgBi3Se6 (PBE, OQMD).

Lattice parameters (Å, degrees): 4.321 4.323 23.575 89.92 90.00 119.98
Element x y z (fractional)
Se  0.668  0.335  0.857
Bi  0.666  0.333  0.076
Se  0.999  0.998  0.502
Se  0.333  0.666  0.139
Bi  0.334  0.668  0.920
Cs  0.000  0.000  0.731
Cs  0.000  0.999  0.261
Se  0.333  0.666  0.361
Bi  0.666  0.333  0.435
Ag  0.334  0.668  0.592
Se  0.667  0.334  0.628
Se  0.000  0.000  0.998

Values from the calculation:
VASP energy   -3.6454 eV/atom
SG   No. 8

=====

No. 5
# Cu4AgBi

A relaxed structure of Cu4AgBi (PBE, OQMD).

Lattice parameters (Å, degrees): 5.975 5.975 5.975 45.69 45.69 45.69
Element x y z (fractional)
Cu  0.822  0.822  0.822
Ag  0.500  0.500  0.500
Cu  0.334  0.334  0.334
Cu  0.178  0.178  0.178
Cu  0.666  0.666  0.666
Bi  0.000  0.000  0.000

Values from the calculation:
VASP energy   -3.2932 eV/atom
SG   No. 166

=====

No. 6
# CuAgBi2

A relaxed structure of CuAgBi2 (PBE, OQMD).

Lattice parameters (Å, degrees): 5.166 5.166 5.166 60.00 60.00 60.00
Element x y z (fractional)
Ag  0.500  0.500  0.500
Bi  0.750  0.750  0.750
Cu  0.250  0.250  0.250
Bi  0.000  0.000  0.000

Values from the calculation:
VASP energy   -3.3093 eV/atom
SG   No. 216

=====

No. 7
# CuAg2Bi2

A relaxed structure of CuAg2Bi2 (PBE, OQMD).

Lattice parameters (Å, degrees): 4.089 4.089 16.769 90.00 90.00 120.00
Element x y z (fractional)
Bi  0.333  0.667  0.654
Cu  0.000  0.000  0.750
Cu  0.000  0.000  0.250
Ag  0.667  0.333  0.955
Bi  0.667  0.333  0.154
Ag  0.333  0.667  0.455
Ag  0.667  0.333  0.545
Bi  0.333  0.667  0.846
Ag  0.333  0.667  0.045
Bi  0.667  0.333  0.346

Values from the calculation:
VASP energy   -3.2435 eV/atom
SG   No. 194

=====

No. 8
# CuAgBi

A relaxed structure of CuAgBi (PBE, OQMD).

Lattice parameters (Å, degrees): 4.637 4.637 4.637 60.00 60.00 60.00
Element x y z (fractional)
Cu  0.750  0.750  0.750
Ag  0.250  0.250  0.250
Bi  0.000  0.000  0.000

Values from the calculation:
VASP energy   -3.2184 eV/atom
SG   No. 216

=====

No. 9
# Gd2CuAgBi4

A relaxed structure of Gd2CuAgBi4 (PBE, OQMD).

Lattice parameters (Å, degrees): 4.560 4.560 9.975 90.00 90.00 90.00
Element x y z (fractional)
Gd  0.500  0.000  0.756
Bi  0.500  0.500  0.500
Bi  0.000  0.000  0.500
Gd  0.000  0.500  0.244
Bi  0.500  0.000  0.180
Bi  0.000  0.500  0.820
Cu  0.500  0.500  0.000
Ag  0.000  0.000  0.000

Values from the calculation:
VASP energy   -4.4493 eV/atom
SG   No. 115

=====

No. 10
# CuAgHgBi

A relaxed structure of CuAgHgBi (PBE, OQMD).

Lattice parameters (Å, degrees): 4.929 4.929 4.929 60.00 60.00 60.00
Element x y z (fractional)
Bi  0.000  0.000  0.000
Hg  0.500  0.500  0.500
Cu  0.750  0.750  0.750
Ag  0.250  0.250  0.250

Values from the calculation:
VASP energy   -2.4794 eV/atom
Excess energy over the best structure of this formula in the dataset   0 meV/atom
SG   No. 216

=====

No. 11
# CuAgHgBi

A relaxed structure of CuAgHgBi (PBE, OQMD).

Lattice parameters (Å, degrees): 4.973 4.973 4.973 60.00 60.00 60.00
Element x y z (fractional)
Cu  0.750  0.750  0.750
Ag  0.500  0.500  0.500
Hg  0.250  0.250  0.250
Bi  0.000  0.000  0.000

Values from the calculation:
VASP energy   -2.3913 eV/atom
Excess energy over the best structure of this formula in the dataset   88 meV/atom
SG   No. 216

=====

No. 12
# CuAgBiIr

A relaxed structure of CuAgBiIr (PBE, OQMD).

Lattice parameters (Å, degrees): 4.664 4.664 4.664 60.00 60.00 60.00
Element x y z (fractional)
Bi  0.000  0.000  0.000
Cu  0.250  0.250  0.250
Ag  0.500  0.500  0.500
Ir  0.750  0.750  0.750

Values from the calculation:
VASP energy   -4.5157 eV/atom
Excess energy over the best structure of this formula in the dataset   0 meV/atom
SG   No. 216